Entry 1:
# V4MoIr | the Alexandria database | PBE | optimized geometry
data_V4MoIr
_space_group_name_H-M_alt 'P 1'
_space_group_IT_number 1
_space_group_name_Hall 'P 1'
_cell_length_a 4.9031
_cell_length_b 4.9031
_cell_length_c 4.9031
_cell_angle_alpha 60.00
_cell_angle_beta 60.00
_cell_angle_gamma 60.00
loop_
_atom_site_label
_atom_site_fract_x
_atom_site_fract_y
_atom_site_fract_z
_atom_site_occupancy
V1 0.1233 0.6256 0.6256 1
V2 0.6256 0.6256 0.1233 1
V3 0.6256 0.6256 0.6256 1
V4 0.6256 0.1233 0.6256 1
Ir1 0.2500 0.2500 0.2500 1
Mo1 0.0000 0.0000 0.0000 1
# - Fermi-level density of states: 10.0 states/eV/f.u.
# - Size of the total moment: 0.0 μB/f.u.
# - Energy: -9.43 eV/atom
# - Formation energy: -0.068 eV/atom

Entry 2:
# ZrPWS2 | the Alexandria database | PBE | optimized geometry
data_ZrPWS2
_space_group_name_H-M_alt 'P 1'
_space_group_IT_number 1
_space_group_name_Hall 'P 1'
_cell_length_a 4.5980
_cell_length_b 4.5980
_cell_length_c 4.8023
_cell_angle_alpha 90.00
_cell_angle_beta 90.00
_cell_angle_gamma 90.00
loop_
_atom_site_label
_atom_site_fract_x
_atom_site_fract_y
_atom_site_fract_z
_atom_site_occupancy
S1 0.0000 0.5000 0.0000 1
S2 0.5000 0.0000 0.0000 1
P1 0.0000 0.0000 0.5000 1
Zr1 0.5000 0.5000 0.5000 1
W1 0.0000 0.0000 0.0000 1
# - Fermi-level density of states: 5.0 states/eV/f.u.
# - Excess energy over the best structure of this formula in the dataset: 0 meV per atom
# - Size of the total moment: 1.4 μB/f.u.
# - Formation energy from raw total energies: 178 meV per atom
# - Energy: -6.86 eV/atom

Entry 3:
# LiCa3F6 | the Alexandria database | PBE | optimized geometry
data_LiCa3F6
_space_group_name_H-M_alt 'P 1'
_space_group_IT_number 1
_space_group_name_Hall 'P 1'
_cell_length_a 5.5058
_cell_length_b 7.5543
_cell_length_c 7.5543
_cell_angle_alpha 102.97
_cell_angle_beta 90.00
_cell_angle_gamma 90.00
loop_
_atom_site_label
_atom_site_fract_x
_atom_site_fract_y
_atom_site_fract_z
_atom_site_occupancy
Li1 0.9998 0.1919 0.8081 1
Li2 0.4998 0.8081 0.1919 1
F1 0.6973 0.3314 0.3645 1
F2 0.1973 0.3645 0.3314 1
F3 0.1440 0.7787 0.2213 1
F4 0.1973 0.6686 0.6355 1
F5 0.6851 0.8754 0.4242 1
F6 0.1851 0.4242 0.8754 1
F7 0.6851 0.5758 0.1246 1
F8 0.6440 0.2213 0.7787 1
F9 0.6973 0.6355 0.6686 1
F10 0.1851 0.1246 0.5758 1
F11 0.7321 0.9323 0.0677 1
F12 0.2321 0.0677 0.9323 1
Ca1 0.4620 0.3097 0.0789 1
Ca2 0.9620 0.0789 0.3097 1
Ca3 0.9620 0.6903 0.9211 1
Ca4 0.4206 0.3918 0.6082 1
Ca5 0.4620 0.9211 0.6903 1
Ca6 0.9206 0.6082 0.3918 1
# - Fermi-level density of states: 1.6 states/eV/f.u.
# - Size of the total moment: 0.0 μB/f.u.
# - Formation energy from raw total energies: -3397 meV per atom
# - Energy: -5.31 eV/atom